## KPtWO6 (GGA+U)

Data for an optimized crystal structure of KPtWO6.

Output
**M_tot**: 0.0 μB per formula unit
**DFT total energy**: -6.265 eV per atom

```
data_KPtWO6
_symmetry_space_group_name_H-M 'I m m a'
_symmetry_Int_Tables_number 74
_symmetry_space_group_name_Hall '-I 2b 2'
_cell_length_a 7.126
_cell_length_b 7.409
_cell_length_c 10.390
_cell_angle_alpha 90.00
_cell_angle_beta 90.00
_cell_angle_gamma 90.00
loop_
_atom_site_label
_atom_site_type_symbol
_atom_site_fract_x
_atom_site_fract_y
_atom_site_fract_z
K1 K 0.000 0.250 0.112
Pt1 Pt 0.250 0.250 0.750
W1 W 0.000 0.000 0.500
O1 O 0.000 0.250 0.439
O2 O 0.000 0.250 0.826
O3 O 0.196 0.055 0.622
```